First-principles (GGA-PBEsol) data for a relaxed TaAg2Br crystal, as listed in Alexandria via LeMat-Bulk.

a = 4.7544 Å, b = 4.7544 Å, c = 4.7544 Å
α = 60.00°, β = 60.00°, γ = 60.00°
Each line ends with the local moment (μB).
Sites, in units of the cell vectors:
Ag  0.2500  0.2500  0.2500  0.03
Ag  0.7500  0.7500  0.7500  0.03
Br  0.0000  0.0000  0.0000  0.01
Ta  0.5000  0.5000  0.5000  0.64

Summary:
Uncorrected formation energy: 104.3 kJ per mole of atoms
Symmetry: Fm-3m
DOS(E_F): 1.107 states/eV/atom
Polymorph energy (0 for the lowest one): 874 meV per atom

First-principles (GGA-PBEsol) data for a relaxed LiLaInF2 crystal, as listed in Alexandria via LeMat-Bulk.

a = 4.5429 Å, b = 4.5429 Å, c = 5.1609 Å
α = 90.00°, β = 90.00°, γ = 90.00°
Sites, in units of the cell vectors:
F  0.0000  0.5000  0.0000
F  0.5000  0.0000  0.0000
In  0.0000  0.0000  0.0000
Li  0.0000  0.0000  0.5000
La  0.5000  0.5000  0.5000

Summary:
Uncorrected formation energy: -106.8 kJ per mole of atoms
Symmetry: P4/mmm
DOS(E_F): 0.743 states/eV/atom

First-principles (GGA-PBEsol) data for a relaxed Ba3CrNi crystal, as listed in Alexandria via LeMat-Bulk.

a = 5.7717 Å, b = 5.7717 Å, c = 5.7717 Å
α = 90.00°, β = 90.00°, γ = 90.00°
Each line ends with the local moment (μB).
Sites, in units of the cell vectors:
Ba  0.0000  0.0000  0.5000  -0.06
Ba  0.5000  0.0000  0.0000  -0.06
Ba  0.0000  0.5000  0.0000  -0.06
Cr  0.0000  0.0000  0.0000  2.97
Ni  0.5000  0.5000  0.5000  0.46

Summary:
Formation energy from the elements: 1.087 eV/atom
Symmetry: Pm-3m
DOS(E_F): 2.242 states/eV/atom

First-principles (GGA-PBEsol) data for a relaxed BOsOF2 crystal, as listed in Alexandria via LeMat-Bulk.

a = 3.7046 Å, b = 4.1762 Å, c = 4.1762 Å
α = 90.00°, β = 90.00°, γ = 90.00°
Sites, in units of the cell vectors:
Os  0.0000  0.0000  0.0000
F  0.0000  0.0000  0.5000
F  0.0000  0.5000  0.0000
O  0.5000  0.0000  0.0000
B  0.5000  0.5000  0.5000

Summary:
Uncorrected formation energy: 18.5 kJ per mole of atoms
Symmetry: P4/mmm
DOS(E_F): 0.597 states/eV/atom

First-principles (GGA-PBEsol) data for a relaxed GdTiGe crystal, as listed in Alexandria via LeMat-Bulk.

a = 4.0003 Å, b = 4.0003 Å, c = 8.2385 Å
α = 104.05°, β = 104.05°, γ = 90.00°
Each line ends with the local moment (μB).
Sites, in units of the cell vectors:
Gd  0.3243  0.3243  0.6485  7.27
Gd  0.6757  0.6757  0.3515  7.27
Ti  0.5000  0.0000  0.0000  0.69
Ti  0.0000  0.5000  0.0000  0.69
Ge  0.1199  0.1199  0.2397  -0.04
Ge  0.8801  0.8801  0.7603  -0.04

Summary:
Formation energy from the elements: -0.712 eV/atom
Symmetry: I4/mmm
DOS(E_F): 0.778 states/eV/atom

First-principles (GGA-PBEsol) data for a relaxed HfGa3Ni12 crystal, as listed in Alexandria via LeMat-Bulk.

a = 3.5799 Å, b = 3.5799 Å, c = 14.1111 Å
α = 90.00°, β = 90.00°, γ = 90.00°
Each line ends with the local moment (μB).
Sites, in units of the cell vectors:
Ni  0.5000  0.0000  0.6227  0.23
Ni  0.5000  0.0000  0.3773  0.23
Ni  0.5000  0.5000  0.5000  0.24
Ni  0.5000  0.5000  0.2551  0.20
Ni  0.0000  0.5000  0.6227  0.23
Ni  0.0000  0.5000  0.1331  0.10
Ni  0.5000  0.0000  0.8669  0.10
Ni  0.0000  0.5000  0.3773  0.23
Ni  0.5000  0.5000  0.7449  0.20
Ni  0.0000  0.5000  0.8669  0.10
Ni  0.5000  0.5000  0.0000  0.03
Ni  0.5000  0.0000  0.1331  0.10
Hf  0.0000  0.0000  0.0000  -0.03
Ga  0.0000  0.0000  0.2560  -0.01
Ga  0.0000  0.0000  0.7440  -0.01
Ga  0.0000  0.0000  0.5000  -0.02

Summary:
Formation energy from the elements: -0.382 eV/atom
Symmetry: P4/mmm
DOS(E_F): 1.019 states/eV/atom

First-principles (GGA-PBEsol) data for a relaxed Be2ReAu crystal, as listed in Alexandria via LeMat-Bulk.

a = 2.7014 Å, b = 3.8952 Å, c = 4.6906 Å
α = 90.00°, β = 106.74°, γ = 90.00°
Sites, in units of the cell vectors:
Be  0.2006  0.0000  0.4013
Be  0.0487  0.5000  0.0973
Au  0.7812  0.5000  0.5623
Re  0.4711  0.0000  0.9422

Summary:
Formation energy from the elements: 0.063 eV/atom
Symmetry: Amm2
DOS(E_F): 0.443 states/eV/atom
Polymorph energy (0 for the lowest one): 26 meV per atom

First-principles (GGA-PBEsol) data for a relaxed Sr2TaAl crystal, as listed in Alexandria via LeMat-Bulk.

a = 3.3107 Å, b = 3.3107 Å, c = 11.2635 Å
α = 81.55°, β = 81.55°, γ = 60.00°
Sites, in units of the cell vectors:
Ta  0.5000  0.5000  0.5000
Al  0.0000  0.0000  0.0000
Sr  0.2487  0.2487  0.2538
Sr  0.7513  0.7513  0.7462

Summary:
Formation energy from the elements: 0.759 eV/atom
Symmetry: R-3m
DOS(E_F): 1.096 states/eV/atom

First-principles (GGA-PBEsol) data for a relaxed Li3SbS crystal, as listed in Alexandria via LeMat-Bulk.

a = 4.5713 Å, b = 4.5713 Å, c = 4.5713 Å
α = 90.00°, β = 90.00°, γ = 90.00°
Sites, in units of the cell vectors:
S  0.0000  0.0000  0.0000
Li  0.5000  0.0000  0.0000
Li  0.0000  0.0000  0.5000
Li  0.0000  0.5000  0.0000
Sb  0.5000  0.5000  0.5000

Summary:
Uncorrected formation energy: -60.6 kJ per mole of atoms
Symmetry: Pm-3m
DOS(E_F): 0.684 states/eV/atom

First-principles (GGA-PBEsol) data for a relaxed Tl2AgAu crystal, as listed in Alexandria via LeMat-Bulk.

a = 3.4073 Å, b = 3.4073 Å, c = 8.9470 Å
α = 79.02°, β = 79.02°, γ = 60.00°
Sites, in units of the cell vectors:
Tl  0.2514  0.2514  0.2458
Tl  0.7486  0.7486  0.7542
Ag  0.5000  0.5000  0.5000
Au  0.0000  0.0000  0.0000

Summary:
Formation energy from the elements: 0.146 eV/atom
Symmetry: R-3m
DOS(E_F): 0.412 states/eV/atom
Polymorph energy (0 for the lowest one): 107 meV per atom

First-principles (GGA-PBEsol) data for a relaxed Li2ReOs crystal, as listed in Alexandria via LeMat-Bulk.

a = 2.5881 Å, b = 2.5881 Å, c = 9.3354 Å
α = 90.00°, β = 90.00°, γ = 117.04°
Sites, in units of the cell vectors:
Li  0.0000  0.0000  0.2550
Li  0.0000  0.0000  0.7450
Os  0.5000  0.5000  0.5000
Re  0.5000  0.5000  0.0000

Summary:
Formation energy from the elements: 0.311 eV/atom
Symmetry: Cmmm
DOS(E_F): 0.685 states/eV/atom
Polymorph energy (0 for the lowest one): 145 meV per atom

First-principles (GGA-PBEsol) data for a relaxed KHfZnN2 crystal, as listed in Alexandria via LeMat-Bulk.

a = 4.1113 Å, b = 4.1113 Å, c = 4.3381 Å
α = 90.00°, β = 90.00°, γ = 90.00°
Each line ends with the local moment (μB).
Sites, in units of the cell vectors:
Hf  0.5000  0.5000  0.5000  0.62
K  0.0000  0.0000  0.5000  0.10
N  0.0000  0.5000  0.0000  -0.03
N  0.5000  0.0000  0.0000  -0.03
Zn  0.0000  0.0000  0.0000  0.01

Summary:
Uncorrected formation energy: 164.5 kJ per mole of atoms
Symmetry: P4/mmm
DOS(E_F): 0.616 states/eV/atom

First-principles (GGA-PBEsol) data for a relaxed CuSiAg2 crystal, as listed in Alexandria via LeMat-Bulk.

a = 2.9692 Å, b = 3.1186 Å, c = 6.3610 Å
α = 90.00°, β = 90.00°, γ = 90.00°
Sites, in units of the cell vectors:
Ag  0.5000  0.5000  0.2756
Ag  0.0000  0.0000  0.9805
Cu  0.0000  0.0000  0.5300
Si  0.5000  0.5000  0.7139

Summary:
Uncorrected formation energy: 9.5 kJ per mole of atoms
Symmetry: Pmm2
DOS(E_F): 0.296 states/eV/atom

First-principles (GGA-PBEsol) data for a relaxed Mg4Au3 crystal, as listed in Alexandria via LeMat-Bulk.

a = 3.5083 Å, b = 3.5083 Å, c = 10.6408 Å
α = 99.49°, β = 99.49°, γ = 90.00°
Sites, in units of the cell vectors:
Mg  0.1549  0.1549  0.3097
Mg  0.4311  0.4311  0.8621
Mg  0.8451  0.8451  0.6903
Mg  0.5689  0.5689  0.1379
Au  0.2924  0.2924  0.5848
Au  0.7076  0.7076  0.4152
Au  0.0000  0.0000  0.0000

Summary:
Formation energy from the elements: -0.447 eV/atom
Symmetry: I4/mmm
DOS(E_F): 0.297 states/eV/atom

First-principles (GGA-PBEsol) data for a relaxed Ti2GeC crystal, as listed in Alexandria via LeMat-Bulk.

a = 3.0564 Å, b = 3.0564 Å, c = 12.8821 Å
α = 90.00°, β = 90.00°, γ = 120.00°
Sites, in units of the cell vectors:
C  0.0000  0.0000  0.5000
C  0.0000  0.0000  0.0000
Ti  0.3333  0.6667  0.4107
Ti  0.6667  0.3333  0.9107
Ti  0.6667  0.3333  0.5893
Ti  0.3333  0.6667  0.0893
Ge  0.3333  0.6667  0.7500
Ge  0.6667  0.3333  0.2500

Summary:
Formation energy from the elements: -0.889 eV/atom
Symmetry: P6_3/mmc
DOS(E_F): 0.326 states/eV/atom

First-principles (GGA-PBEsol) data for a relaxed CoNiSeN2 crystal, as listed in Alexandria via LeMat-Bulk.

a = 3.4965 Å, b = 3.4965 Å, c = 5.3233 Å
α = 90.00°, β = 90.00°, γ = 90.00°
Each line ends with the local moment (μB).
Sites, in units of the cell vectors:
Se  0.0000  0.0000  0.5000  -0.03
Co  0.5000  0.5000  0.5000  1.73
N  0.5000  0.0000  0.0000  -0.23
N  0.0000  0.5000  0.0000  -0.23
Ni  0.0000  0.0000  0.0000  -0.26

Summary:
Uncorrected formation energy: 120.7 kJ per mole of atoms
Symmetry: P4/mmm
DOS(E_F): 1.142 states/eV/atom

First-principles (GGA-PBEsol) data for a relaxed Li2Mn2NiO6 crystal, as listed in Alexandria via LeMat-Bulk.

a = 4.9121 Å, b = 4.8997 Å, c = 10.1054 Å
α = 90.00°, β = 90.00°, γ = 120.08°
Each line ends with the local moment (μB).
Sites, in units of the cell vectors:
Li  0.3264  0.5000  0.7500  0.00
Li  0.1736  0.5000  0.2500  0.00
Li  0.8264  0.5000  0.7500  0.00
Li  0.6736  0.5000  0.2500  0.00
O  0.9983  0.6413  0.1059  0.10
O  0.1430  0.6413  0.6059  0.10
O  0.8510  0.0000  0.6024  0.13
O  0.3570  0.3587  0.1059  0.10
O  0.4983  0.6413  0.3941  0.10
O  0.1490  0.0000  0.3976  0.13
O  0.6490  0.0000  0.1024  0.13
O  0.0017  0.3587  0.8941  0.10
O  0.6430  0.6413  0.8941  0.10
O  0.8570  0.3587  0.3941  0.10
O  0.5017  0.3587  0.6059  0.10
O  0.3510  0.0000  0.8976  0.13
Mn  0.1629  0.3257  0.5000  2.71
Mn  0.8371  0.6743  0.5000  2.71
Mn  0.6629  0.3257  0.0000  2.71
Mn  0.3371  0.6743  0.0000  2.71
Ni  0.5000  0.0000  0.5000  1.63
Ni  0.0000  0.0000  0.0000  1.63

Summary:
Uncorrected formation energy: -154.7 kJ per mole of atoms
Symmetry: Cmce

First-principles (GGA-PBEsol) data for a relaxed TiMn3Te2P6O24 crystal, as listed in Alexandria via LeMat-Bulk.

a = 8.2159 Å, b = 8.2159 Å, c = 9.5845 Å
α = 64.62°, β = 64.62°, γ = 60.00°
Each line ends with the local moment (μB).
Sites, in units of the cell vectors:
Ti  0.3775  0.3775  0.8675  0.01
O  0.4930  0.7508  0.8075  0.00
O  0.7167  0.0628  0.5227  0.00
O  0.6560  0.4887  0.0265  0.00
O  0.1323  0.4087  0.9856  0.00
O  0.3243  0.9562  0.5921  0.00
O  0.0757  0.8484  0.8911  -0.02
O  0.2249  0.0643  0.2962  0.04
O  0.8288  0.6560  0.0265  0.00
O  0.7038  0.9143  0.1277  -0.01
O  0.9562  0.1274  0.5921  0.00
O  0.2543  0.7038  0.1277  -0.01
O  0.0643  0.4146  0.2962  0.04
O  0.4087  0.4734  0.9856  0.00
O  0.1848  0.0757  0.8911  -0.02
O  0.4146  0.2249  0.2962  0.04
O  0.1274  0.3243  0.5921  0.00
O  0.7508  0.9487  0.8075  0.00
O  0.6978  0.7167  0.5227  0.00
O  0.0628  0.6978  0.5227  0.00
O  0.8484  0.1848  0.8911  -0.02
O  0.4887  0.8288  0.0265  0.00
O  0.9487  0.4930  0.8075  0.00
O  0.9143  0.2543  0.1277  -0.01
O  0.4734  0.1323  0.9856  0.00
P  0.4539  0.6527  0.0061  0.00
P  0.6527  0.8873  0.0061  0.00
P  0.8873  0.4539  0.0061  0.00
P  0.5019  0.7719  0.6348  0.00
P  0.0914  0.5019  0.6348  0.00
P  0.7719  0.0914  0.6348  0.00
Mn  0.2787  0.2787  0.1638  1.88
Mn  0.1945  0.1945  0.4165  1.69
Mn  0.0798  0.0798  0.7605  -2.63
Te  0.4822  0.4822  0.5534  -0.01
Te  0.9776  0.9776  0.0672  -0.06

Summary:
Uncorrected formation energy: -140.7 kJ per mole of atoms
Symmetry: R3
DOS(E_F): 0.069 states/eV/atom

First-principles (GGA-PBEsol) data for a relaxed Zn2AgAu crystal, as listed in Alexandria via LeMat-Bulk.

a = 2.8466 Å, b = 2.8466 Å, c = 8.9294 Å
α = 79.34°, β = 79.34°, γ = 60.81°
Sites, in units of the cell vectors:
Ag  0.5000  0.5000  0.5000
Au  0.0000  0.0000  0.0000
Zn  0.2496  0.2496  0.2505
Zn  0.7504  0.7504  0.7495

Summary:
Formation energy from the elements: -0.091 eV/atom
Symmetry: C2/m
DOS(E_F): 0.349 states/eV/atom
Polymorph energy (0 for the lowest one): 78 meV per atom

First-principles (GGA-PBEsol) data for a relaxed Pb2C crystal, as listed in Alexandria via LeMat-Bulk.

a = 3.4667 Å, b = 6.1121 Å, c = 7.0371 Å
α = 115.74°, β = 90.00°, γ = 90.00°
Sites, in units of the cell vectors:
C  0.0000  0.6364  0.2729
C  0.0000  0.3636  0.7271
Pb  0.5000  0.5000  0.0000
Pb  0.5000  0.7655  0.5309
Pb  0.5000  0.2345  0.4691
Pb  0.0000  0.0000  0.0000

Summary:
Formation energy from the elements: 1.403 eV/atom
Symmetry: Cmmm
DOS(E_F): 0.539 states/eV/atom
Polymorph energy (0 for the lowest one): 0 meV per atom